## Tb2AlPd (GGA-PBE)

Data for a relaxed Tb2AlPd crystal.

The structure belongs to space group R-3m (No. 166, hexagonal axes); the cell edges are 3.3668, 3.3668 and 30.0415 Å and the angles 90.00°, 90.00° and 120.00°. The asymmetric unit holds Tb at (0.0000, 0.0000, 0.0875), Al at (0.0000, 0.0000, 0.5000) and Pd at (0.0000, 0.0000, 0.0000).

For the density of states at the Fermi level, the calculation gives 5.54 states/eV per cell. The calculation puts the formation enthalpy at 0 K at -0.05 eV per atom.

=====

## ThPaBe4 (GGA-PBE)

Data for a relaxed ThPaBe4 crystal.

The structure belongs to space group F-43m (No. 216); the cell edges are 7.167, 7.167 and 7.167 Å and the angles 90.00°, 90.00° and 90.00°. The asymmetric unit holds Th at (0.000, 0.000, 0.000), Pa at (0.250, 0.250, 0.750) and Be at (0.120, 0.120, 0.380).

For the density of states at the Fermi level, the calculation gives 23.05 states/eV per cell. The calculation puts the formation enthalpy at 0 K at 0.19 eV per atom.

=====

Q: Which total DFT energy (no corrections) values were calculated for the entries above? A: -55.17; -122.72, in eV/cell.